Compound: KRbSrSn
Source: Alexandria via LeMat-Bulk
Functional: PBE
Structure: relaxed

Cell lengths 6.1022, 6.1022, 6.1022 Å; angles 60.00, 60.00, 60.00 degrees
With the nearest neighbours (Å) after each atom.
Sites, in units of the cell vectors:
Rb 0.7500 0.7500 0.7500  4 Sr 3.74, 4 K 3.74
Sr 0.0000 0.0000 0.0000  4 Rb 3.74, 4 Sn 3.74
K 0.5000 0.5000 0.5000  4 Sn 3.74, 4 Rb 3.74
Sn 0.2500 0.2500 0.2500  4 K 3.74, 4 Sr 3.74

Properties
* energy of formation: -17 kJ/mol of atoms
* uncorrected energy: -2.11 eV/atom